P) # Sm5Dy3Y3 GGA-PBE relaxed
# V = 377.8 Å³ per cell
data_Sm5Dy3Y3
_chemical_formula_sum 'Sm5 Dy3 Y3'
_cell_length_a 11.2354
_cell_length_b 11.2354
_cell_length_c 3.4562
_cell_angle_alpha 90.00
_cell_angle_beta 90.00
_cell_angle_gamma 120.00
_symmetry_space_group_name_H-M 'P -6 2 m'
_symmetry_Int_Tables_number 189
_symmetry_space_group_name_Hall 'P -6 -2'
loop_
_atom_site_label
_atom_site_fract_x
_atom_site_fract_y
_atom_site_fract_z
_atom_site_occupancy
Sm1 0.0000 0.3403 0.0000 1
Sm2 0.3333 0.6667 0.0000 1
Dy1 0.0000 0.5931 0.5000 1
Y1 0.0000 0.8388 0.0000 1



Q) # Sm5Dy3Y3 GGA-PBE relaxed
# V = 457.7 Å³ per cell
data_Sm5Dy3Y3
_chemical_formula_sum 'Sm5 Dy3 Y3'
_cell_length_a 9.7146
_cell_length_b 9.7146
_cell_length_c 5.6006
_cell_angle_alpha 90.00
_cell_angle_beta 90.00
_cell_angle_gamma 120.00
_symmetry_space_group_name_H-M 'P -6 2 m'
_symmetry_Int_Tables_number 189
_symmetry_space_group_name_Hall 'P -6 -2'
loop_
_atom_site_label
_atom_site_fract_x
_atom_site_fract_y
_atom_site_fract_z
_atom_site_occupancy
Sm1 0.0000 0.7253 0.0000 1
Sm2 0.3333 0.6667 0.0000 1
Dy1 0.0000 0.3635 0.0000 1
Y1 0.0000 0.5380 0.5000 1



Stability, highest: P)



P) # Sm3Dy6Y2 GGA-PBE relaxed
# V = 1060.6 Å³ per cell
data_Sm3Dy6Y2
_chemical_formula_sum 'Sm9 Dy18 Y6'
_cell_length_a 3.5729
_cell_length_b 3.5729
_cell_length_c 95.9387
_cell_angle_alpha 90.00
_cell_angle_beta 90.00
_cell_angle_gamma 120.00
_symmetry_space_group_name_H-M 'R -3 m'
_symmetry_Int_Tables_number 166
_symmetry_space_group_name_Hall '-R 3 2"'
loop_
_atom_site_label
_atom_site_fract_x
_atom_site_fract_y
_atom_site_fract_z
_atom_site_occupancy
Sm1 0.0000 0.0000 0.0000 1
Sm2 0.0000 0.0000 0.2725 1
Dy1 0.0000 0.0000 0.0913 1
Dy2 0.0000 0.0000 0.1817 1
Dy3 0.0000 0.0000 0.3637 1
Y1 0.0000 0.0000 0.4548 1



Q) # Sm3Dy6Y2 GGA-PBE relaxed
# V = 752.2 Å³ per cell
data_Sm3Dy6Y2
_chemical_formula_sum 'Sm6 Dy12 Y4'
_cell_length_a 4.7420
_cell_length_b 4.7420
_cell_length_c 33.4495
_cell_angle_alpha 90.00
_cell_angle_beta 90.00
_cell_angle_gamma 90.00
_symmetry_space_group_name_H-M 'I 4/m m m'
_symmetry_Int_Tables_number 139
_symmetry_space_group_name_Hall '-I 4 2'
loop_
_atom_site_label
_atom_site_fract_x
_atom_site_fract_y
_atom_site_fract_z
_atom_site_occupancy
Sm1 0.0000 0.0000 0.0000 1
Sm2 0.0000 0.0000 0.2014 1
Dy1 0.0000 0.0000 0.3041 1
Dy2 0.0000 0.5000 0.1217 1
Y1 0.0000 0.0000 0.4538 1



Stability, highest: P)



P) # SmDy9Y2 GGA-PBE relaxed
# V = 381.4 Å³ per cell
data_SmDy9Y2
_chemical_formula_sum 'Sm1 Dy9 Y2'
_cell_length_a 5.0292
_cell_length_b 5.0292
_cell_length_c 15.0813
_cell_angle_alpha 90.00
_cell_angle_beta 90.00
_cell_angle_gamma 90.00
_symmetry_space_group_name_H-M 'P 4/m m m'
_symmetry_Int_Tables_number 123
_symmetry_space_group_name_Hall '-P 4 2'
loop_
_atom_site_label
_atom_site_fract_x
_atom_site_fract_y
_atom_site_fract_z
_atom_site_occupancy
Sm1 0.0000 0.0000 0.0000 1
Dy1 0.0000 0.5000 0.1671 1
Dy2 0.0000 0.5000 0.5000 1
Dy3 0.5000 0.5000 0.0000 1
Dy4 0.5000 0.5000 0.3340 1
Y1 0.0000 0.0000 0.3336 1



Q) # SmDy9Y2 GGA-PBE relaxed
# V = 383.6 Å³ per cell
data_SmDy9Y2
_chemical_formula_sum 'Sm1 Dy9 Y2'
_cell_length_a 11.2513
_cell_length_b 11.2513
_cell_length_c 3.4989
_cell_angle_alpha 90.00
_cell_angle_beta 90.00
_cell_angle_gamma 120.00
_symmetry_space_group_name_H-M 'P 6/m m m'
_symmetry_Int_Tables_number 191
_symmetry_space_group_name_Hall '-P 6 2'
loop_
_atom_site_label
_atom_site_fract_x
_atom_site_fract_y
_atom_site_fract_z
_atom_site_occupancy
Sm1 0.0000 0.0000 0.0000 1
Dy1 0.0000 0.5000 0.0000 1
Dy2 0.1766 0.3532 0.5000 1
Y1 0.3333 0.6667 0.0000 1



Stability, highest: P)



P) # Sm7DyY12 GGA-PBE relaxed
# V = 2051.0 Å³ per cell
data_Sm7DyY12
_chemical_formula_sum 'Sm21 Dy3 Y36'
_cell_length_a 18.6276
_cell_length_b 18.6276
_cell_length_c 6.8252
_cell_angle_alpha 90.00
_cell_angle_beta 90.00
_cell_angle_gamma 120.00
_symmetry_space_group_name_H-M 'R -3'
_symmetry_Int_Tables_number 148
_symmetry_space_group_name_Hall '-R 3'
loop_
_atom_site_label
_atom_site_fract_x
_atom_site_fract_y
_atom_site_fract_z
_atom_site_occupancy
Sm1 0.0000 0.0000 0.0000 1
Sm2 0.0077 0.1562 0.2827 1
Dy1 0.0000 0.0000 0.5000 1
Y1 0.0001 0.2140 0.7897 1
Y2 0.0074 0.5371 0.2368 1



Q) # Sm7DyY12 GGA-PBE relaxed
# V = 2042.8 Å³ per cell
data_Sm7DyY12
_chemical_formula_sum 'Sm21 Dy3 Y36'
_cell_length_a 12.0350
_cell_length_b 12.0350
_cell_length_c 16.2855
_cell_angle_alpha 90.00
_cell_angle_beta 90.00
_cell_angle_gamma 120.00
_symmetry_space_group_name_H-M 'R -3'
_symmetry_Int_Tables_number 148
_symmetry_space_group_name_Hall '-R 3'
loop_
_atom_site_label
_atom_site_fract_x
_atom_site_fract_y
_atom_site_fract_z
_atom_site_occupancy
Sm1 0.0000 0.0000 0.0000 1
Sm2 0.0557 0.8670 0.2914 1
Dy1 0.0000 0.0000 0.5000 1
Y1 0.0250 0.5753 0.2208 1
Y2 0.0528 0.4670 0.5831 1



Stability, highest: Q)



P) # SmDy2Y7 GGA-PBE relaxed
# V = 647.5 Å³ per cell
data_SmDy2Y7
_chemical_formula_sum 'Sm2 Dy4 Y14'
_cell_length_a 6.1952
_cell_length_b 29.7364
_cell_length_c 3.5148
_cell_angle_alpha 90.00
_cell_angle_beta 90.77
_cell_angle_gamma 90.00
_symmetry_space_group_name_H-M 'C 1 2/m 1'
_symmetry_Int_Tables_number 12
_symmetry_space_group_name_Hall '-C 2y'
loop_
_atom_site_label
_atom_site_fract_x
_atom_site_fract_y
_atom_site_fract_z
_atom_site_occupancy
Sm1 0.0000 0.0000 0.0000 1
Dy1 0.0000 0.1917 0.5000 1
Y1 0.0000 0.2925 0.0000 1
Y2 0.0000 0.5000 0.5000 1
Y3 0.2445 0.3993 0.7704 1



Q) # SmDy2Y7 GGA-PBE relaxed
# V = 795.6 Å³ per cell
data_SmDy2Y7
_chemical_formula_sum 'Sm2 Dy4 Y14'
_cell_length_a 8.8248
_cell_length_b 15.9576
_cell_length_c 5.6498
_cell_angle_alpha 90.00
_cell_angle_beta 90.00
_cell_angle_gamma 90.00
_symmetry_space_group_name_H-M 'C m m m'
_symmetry_Int_Tables_number 65
_symmetry_space_group_name_Hall '-C 2 2'
loop_
_atom_site_label
_atom_site_fract_x
_atom_site_fract_y
_atom_site_fract_z
_atom_site_occupancy
Sm1 0.0000 0.0000 0.0000 1
Dy1 0.0000 0.2967 0.5000 1
Y1 0.0000 0.2221 0.0000 1
Y2 0.0000 0.5000 0.5000 1
Y3 0.1774 0.1163 0.5000 1



Stability, highest: P)



P) # SmDy5Y5 GGA-PBE relaxed
# V = 370.2 Å³ per cell
data_SmDy5Y5
_chemical_formula_sum 'Sm1 Dy5 Y5'
_cell_length_a 6.0978
_cell_length_b 6.0978
_cell_length_c 11.4960
_cell_angle_alpha 90.00
_cell_angle_beta 90.00
_cell_angle_gamma 120.00
_symmetry_space_group_name_H-M 'P -6 m 2'
_symmetry_Int_Tables_number 187
_symmetry_space_group_name_Hall 'P -6 2'
loop_
_atom_site_label
_atom_site_fract_x
_atom_site_fract_y
_atom_site_fract_z
_atom_site_occupancy
Sm1 0.0000 0.0000 0.0000 1
Dy1 0.0030 0.5015 0.5000 1
Dy2 0.6667 0.3333 0.2654 1
Y1 0.0000 0.0000 0.3234 1
Y2 0.3333 0.6667 0.1604 1
Y3 0.6667 0.3333 0.0000 1



Q) # SmDy5Y5 GGA-PBE relaxed
# V = 364.1 Å³ per cell
data_SmDy5Y5
_chemical_formula_sum 'Sm1 Dy5 Y5'
_cell_length_a 6.8978
_cell_length_b 6.9298
_cell_length_c 8.3828
_cell_angle_alpha 76.29
_cell_angle_beta 76.20
_cell_angle_gamma 71.91
_symmetry_space_group_name_H-M 'P -1'
_symmetry_Int_Tables_number 2
_symmetry_space_group_name_Hall '-P 1'
loop_
_atom_site_label
_atom_site_fract_x
_atom_site_fract_y
_atom_site_fract_z
_atom_site_occupancy
Sm1 0.0000 0.0000 0.0000 1
Dy1 0.0000 0.5000 0.0000 1
Dy2 0.1532 0.1357 0.3590 1
Dy3 0.3501 0.7544 0.7192 1
Y1 0.2158 0.6404 0.3015 1
Y2 0.3216 0.2780 0.6488 1
Y3 0.5000 0.0000 0.0000 1



Stability, highest: Q)